# 1
A plane-wave DFT calculation with PBE-GGA was carried out for Te2AuSe4 after structural relaxation.

Volume = 365.8 Å³/cell
E = -3.25 eV/atom
Total magnetic moment = 0.0 μB per cell

abc: 4.374 7.272 11.500
angles: 90.00 90.00 90.00
Sites, in units of the cell vectors:
Te 0.500 0.576 0.327
Te 0.500 0.924 0.827
Te 0.500 0.424 0.673
Te 0.500 0.076 0.173
Se 0.000 0.641 0.802
Se 0.000 0.141 0.698
Se 0.000 0.859 0.302
Se 0.500 0.251 0.444
Se 0.500 0.751 0.056
Se 0.500 0.749 0.556
Se 0.500 0.249 0.944
Se 0.000 0.359 0.198
Au 0.000 0.000 0.500
Au 0.000 0.500 0.000

# 2
A plane-wave DFT calculation with PBE-GGA was carried out for BPCl2F after structural relaxation.

Volume = 76.1 Å³/cell
E = -3.09 eV/atom
Total magnetic moment = 0.0 μB per cell

abc: 4.291 4.291 4.133
angles: 90.00 90.00 90.00
Sites, in units of the cell vectors:
Cl 0.500 0.000 0.000
Cl 0.000 0.500 0.000
F 0.500 0.500 0.500
P 0.000 0.000 0.500
B 0.000 0.000 0.000

# 3
A plane-wave DFT calculation with PBE-GGA was carried out for LiPt3Cl after structural relaxation.

Volume = 83.6 Å³/cell
E = -3.45 eV/atom
Total magnetic moment = 0.0 μB per cell

abc: 4.373 4.373 4.373
angles: 90.00 90.00 90.00
Sites, in units of the cell vectors:
Li 0.000 0.000 0.000
Pt 0.500 0.000 0.000
Pt 0.000 0.000 0.500
Pt 0.000 0.500 0.000
Cl 0.500 0.500 0.500

For the records above, the corresponding energy relative to the elements, uncorrected values read 10.34 42.73 89.18 kJ per mole of atoms.